No. 1
{"formula": "KCo2As2HO8", "functional": "meta-GGA SCAN", "state": "PBEsol geometry", "space_group": "No. 13", "final_energy_ev_per_atom": -11.19, "magnetic_moment_mub_per_cell": 24.000, "lattice_angstrom": [[8.574, 0.000, 0.000], [0.000, 4.961, 0.000], [-1.746, 0.000, 15.901]], "species": ["K", "K", "K", "K", "Co", "Co", "Co", "Co", "Co", "Co", "Co", "Co", "As", "As", "As", "As", "As", "As", "As", "As", "H", "H", "H", "H", "O", "O", "O", "O", "O", "O", "O", "O", "O", "O", "O", "O", "O", "O", "O", "O", "O", "O", "O", "O", "O", "O", "O", "O", "O", "O", "O", "O", "O", "O", "O", "O"], "fractional_positions": [[0.000, 0.119, 0.250], [0.000, 0.881, 0.750], [0.500, 0.128, 0.750], [0.500, 0.872, 0.250], [0.085, 0.220, 0.503], [0.085, 0.780, 0.003], [0.416, 0.221, 0.501], [0.416, 0.779, 0.001], [0.584, 0.221, 0.999], [0.584, 0.779, 0.499], [0.915, 0.220, 0.997], [0.915, 0.780, 0.497], [0.228, 0.282, 0.890], [0.228, 0.718, 0.390], [0.272, 0.279, 0.107], [0.272, 0.721, 0.607], [0.728, 0.279, 0.393], [0.728, 0.721, 0.893], [0.772, 0.282, 0.610], [0.772, 0.718, 0.110], [0.252, 0.487, 0.247], [0.252, 0.513, 0.747], [0.748, 0.487, 0.253], [0.748, 0.513, 0.753], [0.071, 0.093, 0.919], [0.071, 0.907, 0.419], [0.095, 0.422, 0.071], [0.095, 0.578, 0.571], [0.205, 0.301, 0.783], [0.205, 0.699, 0.283], [0.234, 0.392, 0.428], [0.234, 0.608, 0.928], [0.270, 0.061, 0.583], [0.270, 0.939, 0.083], [0.295, 0.296, 0.216], [0.295, 0.704, 0.716], [0.398, 0.098, 0.920], [0.398, 0.902, 0.420], [0.432, 0.426, 0.071], [0.432, 0.574, 0.571], [0.568, 0.426, 0.429], [0.568, 0.574, 0.929], [0.602, 0.098, 0.580], [0.602, 0.902, 0.080], [0.705, 0.296, 0.284], [0.705, 0.704, 0.784], [0.730, 0.061, 0.917], [0.730, 0.939, 0.417], [0.766, 0.392, 0.072], [0.766, 0.608, 0.572], [0.795, 0.301, 0.717], [0.795, 0.699, 0.217], [0.905, 0.422, 0.429], [0.905, 0.578, 0.929], [0.929, 0.093, 0.581], [0.929, 0.907, 0.081]]}

---

No. 2
{"formula": "CoAs2HO", "functional": "meta-GGA SCAN", "state": "PBEsol geometry", "space_group": "No. 123", "dos_at_fermi_per_ev_atom": 0.675, "final_energy_ev_per_atom": -12.93, "magnetic_moment_mub_per_cell": 0.002, "lattice_angstrom": [[4.385, 0.000, 0.000], [0.000, 4.385, 0.000], [0.000, 0.000, 2.901]], "species": ["Co", "As", "As", "H", "O"], "fractional_positions": [[0.000, 0.000, 0.000], [0.000, 0.500, 0.500], [0.500, 0.000, 0.500], [0.000, 0.000, 0.500], [0.500, 0.500, 0.000]]}

---

No. 3
{"formula": "Co2AsHO5", "functional": "meta-GGA SCAN", "state": "PBEsol geometry", "space_group": "No. 58", "final_energy_ev_per_atom": -11.19, "magnetic_moment_mub_per_cell": 24.069, "lattice_angstrom": [[7.990, 0.000, 0.000], [0.000, 8.636, 0.000], [0.000, 0.000, 5.921]], "species": ["Co", "Co", "Co", "Co", "Co", "Co", "Co", "Co", "As", "As", "As", "As", "H", "H", "H", "H", "O", "O", "O", "O", "O", "O", "O", "O", "O", "O", "O", "O", "O", "O", "O", "O", "O", "O", "O", "O"], "fractional_positions": [[0.000, 0.000, 0.227], [0.000, 0.000, 0.773], [0.140, 0.370, 0.000], [0.360, 0.870, 0.500], [0.500, 0.500, 0.273], [0.500, 0.500, 0.727], [0.640, 0.130, 0.500], [0.860, 0.630, 0.000], [0.246, 0.246, 0.500], [0.254, 0.746, 0.000], [0.746, 0.254, 0.000], [0.754, 0.754, 0.500], [0.235, 0.089, 0.000], [0.265, 0.589, 0.500], [0.735, 0.411, 0.500], [0.765, 0.911, 0.000], [0.060, 0.147, 0.500], [0.100, 0.607, 0.000], [0.123, 0.136, 0.000], [0.230, 0.873, 0.225], [0.230, 0.873, 0.775], [0.270, 0.373, 0.275], [0.270, 0.373, 0.725], [0.377, 0.636, 0.500], [0.400, 0.107, 0.500], [0.440, 0.647, 0.000], [0.560, 0.353, 0.000], [0.600, 0.893, 0.500], [0.623, 0.364, 0.500], [0.730, 0.627, 0.275], [0.730, 0.627, 0.725], [0.770, 0.127, 0.225], [0.770, 0.127, 0.775], [0.877, 0.864, 0.000], [0.900, 0.393, 0.000], [0.940, 0.853, 0.500]]}

---

No. 4
{"formula": "HfCo3As", "functional": "meta-GGA SCAN", "state": "PBEsol geometry", "space_group": "No. 221", "dos_at_fermi_per_ev_atom": 0.411, "final_energy_ev_per_atom": -25.46, "magnetic_moment_mub_per_cell": 2.916, "e_form_mev_per_atom": 1497, "lattice_angstrom": [[4.446, 0.000, 0.000], [0.000, 4.446, 0.000], [0.000, 0.000, 4.446]], "species": ["Hf", "Co", "Co", "Co", "As"], "fractional_positions": [[0.000, 0.000, 0.000], [0.000, 0.000, 0.500], [0.000, 0.500, 0.000], [0.500, 0.000, 0.000], [0.500, 0.500, 0.500]]}

---

No. 5
{"formula": "HfCoAs2", "functional": "meta-GGA SCAN", "state": "PBEsol geometry", "space_group": "No. 225", "dos_at_fermi_per_ev_atom": 1.074, "final_energy_ev_per_atom": -30.22, "magnetic_moment_mub_per_cell": 1.647, "e_form_mev_per_atom": -126, "lattice_angstrom": [[0.000, 3.144, 3.144], [3.144, 0.000, 3.144], [3.144, 3.144, 0.000]], "species": ["Hf", "Co", "As", "As"], "fractional_positions": [[0.000, 0.000, 0.000], [0.500, 0.500, 0.500], [0.250, 0.250, 0.250], [0.750, 0.750, 0.750]]}

---

No. 6
{"formula": "Hf5CoAs3", "functional": "meta-GGA SCAN", "state": "PBEsol geometry", "space_group": "No. 62", "dos_at_fermi_per_ev_atom": 0.424, "final_energy_ev_per_atom": -44.39, "magnetic_moment_mub_per_cell": 0.000, "e_form_mev_per_atom": -921, "lattice_angstrom": [[17.210, 0.000, 0.000], [0.000, 3.636, 0.000], [0.000, 0.000, 10.317]], "species": ["Hf", "Hf", "Hf", "Hf", "Hf", "Hf", "Hf", "Hf", "Hf", "Hf", "Hf", "Hf", "Hf", "Hf", "Hf", "Hf", "Hf", "Hf", "Hf", "Hf", "Co", "Co", "Co", "Co", "As", "As", "As", "As", "As", "As", "As", "As", "As", "As", "As", "As"], "fractional_positions": [[0.022, 0.250, 0.120], [0.077, 0.750, 0.557], [0.132, 0.250, 0.815], [0.167, 0.750, 0.258], [0.224, 0.250, 0.485], [0.276, 0.750, 0.985], [0.333, 0.250, 0.758], [0.368, 0.750, 0.315], [0.423, 0.250, 0.057], [0.478, 0.750, 0.620], [0.522, 0.250, 0.380], [0.577, 0.750, 0.943], [0.632, 0.250, 0.685], [0.667, 0.750, 0.242], [0.724, 0.250, 0.015], [0.776, 0.750, 0.515], [0.833, 0.250, 0.742], [0.868, 0.750, 0.185], [0.923, 0.250, 0.443], [0.978, 0.750, 0.880], [0.092, 0.250, 0.368], [0.408, 0.750, 0.868], [0.592, 0.250, 0.132], [0.908, 0.750, 0.632], [0.008, 0.750, 0.312], [0.119, 0.750, 0.009], [0.219, 0.750, 0.686], [0.281, 0.250, 0.186], [0.381, 0.250, 0.509], [0.492, 0.250, 0.812], [0.508, 0.750, 0.188], [0.619, 0.750, 0.491], [0.719, 0.750, 0.814], [0.781, 0.250, 0.314], [0.881, 0.250, 0.991], [0.992, 0.250, 0.688]]}

---

No. 7
{"formula": "HfCoAs", "functional": "meta-GGA SCAN", "state": "PBEsol geometry", "space_group": "No. 62", "dos_at_fermi_per_ev_atom": 0.245, "final_energy_ev_per_atom": -34.21, "magnetic_moment_mub_per_cell": 0.000, "e_form_mev_per_atom": -817, "lattice_angstrom": [[6.388, 0.000, 0.000], [0.000, 3.777, 0.000], [0.000, 0.000, 7.159]], "species": ["Hf", "Hf", "Hf", "Hf", "Co", "Co", "Co", "Co", "As", "As", "As", "As"], "fractional_positions": [[0.019, 0.250, 0.187], [0.481, 0.750, 0.687], [0.519, 0.250, 0.313], [0.981, 0.750, 0.813], [0.139, 0.250, 0.563], [0.361, 0.750, 0.063], [0.639, 0.250, 0.937], [0.861, 0.750, 0.437], [0.231, 0.750, 0.384], [0.269, 0.250, 0.884], [0.731, 0.750, 0.116], [0.769, 0.250, 0.616]]}

---

No. 8
{"formula": "HfTl2CoAs", "functional": "meta-GGA SCAN", "state": "PBEsol geometry", "space_group": "No. 123", "dos_at_fermi_per_ev_atom": 0.999, "final_energy_ev_per_atom": -47.86, "magnetic_moment_mub_per_cell": 2.492, "e_form_mev_per_atom": 1117, "lattice_angstrom": [[5.201, 0.000, 0.000], [0.000, 5.201, 0.000], [0.000, 0.000, 4.984]], "species": ["Hf", "Tl", "Tl", "Co", "As"], "fractional_positions": [[0.000, 0.000, 0.000], [0.000, 0.500, 0.500], [0.500, 0.000, 0.500], [0.500, 0.500, 0.000], [0.000, 0.000, 0.500]]}

---

No. 9
{"formula": "Co2HgAs", "functional": "meta-GGA SCAN", "state": "PBEsol geometry", "space_group": "No. 25", "relative_energy_mev_per_atom": 0, "dos_at_fermi_per_ev_atom": 0.476, "final_energy_ev_per_atom": -30.51, "magnetic_moment_mub_per_cell": 2.996, "e_form_mev_per_atom": 234, "lattice_angstrom": [[2.788, 0.000, 0.000], [0.000, 3.130, 0.000], [0.000, 0.000, 7.033]], "species": ["Co", "Co", "Hg", "As"], "fractional_positions": [[0.000, 0.000, 0.000], [0.500, 0.500, 0.172], [0.000, 0.000, 0.424], [0.500, 0.500, 0.818]]}

---

No. 10
{"formula": "Co2HgAs", "functional": "meta-GGA SCAN", "state": "PBEsol geometry", "space_group": "No. 119", "relative_energy_mev_per_atom": 278, "dos_at_fermi_per_ev_atom": 0.660, "final_energy_ev_per_atom": -30.23, "magnetic_moment_mub_per_cell": 3.124, "e_form_mev_per_atom": 512, "lattice_angstrom": [[-1.838, 1.838, 4.184], [1.838, -1.838, 4.184], [1.838, 1.838, -4.184]], "species": ["Co", "Co", "Hg", "As"], "fractional_positions": [[0.000, 0.000, 0.000], [0.750, 0.250, 0.500], [0.500, 0.500, 0.000], [0.250, 0.750, 0.500]]}

---

No. 11
{"formula": "CoHgAs", "functional": "meta-GGA SCAN", "state": "PBEsol geometry", "space_group": "No. 156", "dos_at_fermi_per_ev_atom": 0.117, "final_energy_ev_per_atom": -35.06, "magnetic_moment_mub_per_cell": 0.000, "e_form_mev_per_atom": 159, "lattice_angstrom": [[3.092, 0.000, 0.000], [-1.546, 2.678, 0.000], [0.000, 0.000, 6.146]], "species": ["Co", "Hg", "As"], "fractional_positions": [[0.000, 0.000, 0.000], [0.333, 0.667, 0.668], [0.667, 0.333, 0.228]]}

---

Please write out number 8 again, unchanged.
{"formula": "HfTl2CoAs", "functional": "meta-GGA SCAN", "state": "PBEsol geometry", "space_group": "No. 123", "dos_at_fermi_per_ev_atom": 0.999, "final_energy_ev_per_atom": -47.86, "magnetic_moment_mub_per_cell": 2.492, "e_form_mev_per_atom": 1117, "lattice_angstrom": [[5.201, 0.000, 0.000], [0.000, 5.201, 0.000], [0.000, 0.000, 4.984]], "species": ["Hf", "Tl", "Tl", "Co", "As"], "fractional_positions": [[0.000, 0.000, 0.000], [0.000, 0.500, 0.500], [0.500, 0.000, 0.500], [0.500, 0.500, 0.000], [0.000, 0.000, 0.500]]}